Density functional theory data (GGA-PBE) for a relaxed structure of K2SbAu2.

The value obtained for the total energy is -2.37 eV per atom. The space group is No. 139. Its uncorrected formation energy is 0.204 eV per atom. As for the excess energy over the best structure of this formula in the dataset: 0.5732 eV/atom.

abc: 4.6116 4.6116 7.7859
angles: 72.77 72.77 90.00
With the nearest neighbours (Å) after each atom.
Positions (direct):
1 K 0.2500 0.7500 0.5000  4 Au 3.19, 4 K 3.26
2 K 0.7500 0.2500 0.5000  4 Au 3.19, 4 K 3.26
3 Au 0.4064 0.4064 0.1873  1 Au 2.65
4 Au 0.5936 0.5936 0.8127  1 Au 2.65
5 Sb 0.0000 0.0000 0.0000  8 Au 3.52



Density functional theory data (GGA-PBE) for a relaxed structure of KSbAu2.

The value obtained for the total energy is -3.22 eV per atom. The space group is No. 1. Its uncorrected formation energy is -0.271 eV per atom.

abc: 5.0615 4.9191 6.3211
angles: 73.11 73.13 56.45
With the nearest neighbours (Å) after each atom.
Positions (direct):
1 Sb 0.7067 0.6989 0.9204  5 Au 2.76-2.98
2 Au 0.3128 0.3078 0.0599  2 Sb 2.76-2.82, 3 Au 2.80-2.87
3 Au 0.9963 0.9959 0.0218  3 Au 2.80-2.87, 3 Sb 2.86-2.98
4 K 0.4842 0.4974 0.4979  2 Au 3.38-3.62, 2 Sb 3.51-3.73



Density functional theory data (GGA-PBE) for a relaxed structure of KSb8Au2.

The value obtained for the total energy is -3.67 eV per atom. The space group is No. 2. Its uncorrected formation energy is 0.021 eV per atom.

abc: 5.8527 10.6840 8.3882
angles: 85.35 85.24 119.32
With the nearest neighbours (Å) after each atom.
Positions (direct):
1 Sb 0.7561 0.8908 0.4567  1 Au 2.77, 2 Sb 2.86-2.87
2 Sb 0.4435 0.8827 0.7422  1 Au 2.80, 2 Sb 2.86
3 Sb 0.2439 0.1092 0.5433  1 Au 2.77, 2 Sb 2.86-2.87
4 Sb 0.0210 0.5946 0.7345  1 Au 2.78, 2 Sb 2.86-2.88
5 Sb 0.7572 0.5998 0.0374  1 Au 2.80, 2 Sb 2.87-2.88
6 Sb 0.2428 0.4002 0.9626  1 Au 2.80, 2 Sb 2.87-2.88
7 Sb 0.5565 0.1173 0.2578  1 Au 2.80, 2 Sb 2.86
8 Sb 0.9790 0.4054 0.2655  1 Au 2.78, 2 Sb 2.86-2.88
9 K 0.0000 0.0000 0.0000  2 Au 3.51, 6 Sb 3.76-3.85
10 Au 0.2746 0.2661 0.2547  4 Sb 2.77-2.80
11 Au 0.7254 0.7339 0.7453  4 Sb 2.77-2.80



Density functional theory data (GGA-PBE) for a relaxed structure of KSbAu2.

The value obtained for the total energy is -3.20 eV per atom. The space group is No. 1. Its uncorrected formation energy is -0.260 eV per atom.

abc: 5.2200 5.2192 9.9865
angles: 75.66 75.68 85.87
With the nearest neighbours (Å) after each atom.
Positions (direct):
1 K 0.9305 0.2644 0.4816  6 Au 3.35-3.61, 2 Sb 3.52-3.62
2 K 0.0543 0.1385 0.9817  6 Au 3.36-3.61, 2 Sb 3.52-3.62
3 Sb 0.6141 0.6254 0.2195  4 Au 2.69-2.75
4 Sb 0.4174 0.8244 0.7193  4 Au 2.69-2.75
5 Au 0.9270 0.6673 0.7182  2 Sb 2.72-2.75, 2 Au 2.88-2.95
6 Au 0.3741 0.7017 0.4779  2 Sb 2.69-2.71, 2 Au 2.88-2.95
7 Au 0.4924 0.5823 0.9777  2 Sb 2.69-2.71, 2 Au 2.88-2.95
8 Au 0.4572 0.1352 0.2178  2 Sb 2.72-2.75, 2 Au 2.88-2.95



Density functional theory data (GGA-PBE) for a relaxed structure of K2Sb2Au3.

The value obtained for the total energy is -3.10 eV per atom. The space group is No. 10. Its uncorrected formation energy is -0.204 eV per atom. As for the excess energy over the best structure of this formula in the dataset: 0.0789 eV/atom.

abc: 3.5337 6.5166 9.9210
angles: 115.84 90.00 90.00
With the nearest neighbours (Å) after each atom.
Positions (direct):
1 Au 0.0000 0.2004 0.4874  2 Sb 2.71-2.84, 1 Au 2.73
2 Au 0.0000 0.0000 0.0000  2 Sb 2.69
3 Au 0.0000 0.7996 0.5126  2 Sb 2.71-2.84, 1 Au 2.73
4 K 0.5000 0.7987 0.2072  6 Au 3.37-3.51, 2 K 3.53, 2 Sb 3.69
5 K 0.5000 0.2013 0.7928  6 Au 3.37-3.51, 2 K 3.53, 2 Sb 3.69
6 Sb 0.0000 0.3537 0.2737  3 Au 2.69-2.84
7 Sb 0.0000 0.6463 0.7263  3 Au 2.69-2.84



Density functional theory data (GGA-PBE) for a relaxed structure of KSbAu2.

The value obtained for the total energy is -3.04 eV per atom. The space group is No. 44. Its uncorrected formation energy is -0.097 eV per atom.

abc: 6.3739 6.3739 6.3739
angles: 149.64 127.32 62.03
With the nearest neighbours (Å) after each atom.
Positions (direct):
1 Au 0.7987 0.2987 0.5000  2 Au 2.78
2 Au 0.0019 0.0019 0.0000  2 Sb 2.77, 2 Au 2.78
3 Sb 0.2045 0.7045 0.5000  2 Au 2.77
4 K 0.4949 0.4949 0.0000  6 Au 3.29-3.55, 2 K 3.34, 4 Sb 3.58-3.64



Density functional theory data (GGA-PBE) for a relaxed structure of KSb2Au.

The value obtained for the total energy is -3.29 eV per atom. The space group is No. 25. Its uncorrected formation energy is -0.132 eV per atom. As for the excess energy over the best structure of this formula in the dataset: 0.1803 eV/atom.

abc: 5.4244 3.3357 6.0114
angles: 90.00 90.00 90.00
With the nearest neighbours (Å) after each atom.
Positions (direct):
1 Sb 0.0000 0.2501 0.0068  2 Au 2.99-3.03, 4 Sb 3.08-3.34
2 Sb 0.5000 0.2499 0.2500  4 Sb 3.08-3.34, 2 Au 3.11, 2 K 3.38
3 K 0.5000 0.7500 0.7399  2 K 3.34, 8 Sb 3.38-3.57, 4 Au 3.49
4 Au 0.0000 0.2500 0.5034  4 Sb 2.99-3.11, 2 Au 3.34



Density functional theory data (GGA-PBE) for a relaxed structure of K2Sb5Au3.

The value obtained for the total energy is -3.51 eV per atom. The space group is No. 72. Its uncorrected formation energy is -0.246 eV per atom.

abc: 7.2428 9.6904 9.6904
angles: 70.93 68.06 68.06
With the nearest neighbours (Å) after each atom.
Positions (direct):
1 Sb 0.6101 0.7513 0.0284  3 Au 2.79-2.84, 2 Sb 3.05
2 Sb 0.7500 0.5000 0.5000  4 Au 2.85
3 Sb 0.8899 0.9716 0.2487  3 Au 2.79-2.84, 2 Sb 3.05
4 Sb 0.2500 0.5000 0.5000  4 Au 2.85
5 Sb 0.4958 0.7542 0.7542  2 Au 2.85, 2 Sb 3.05
6 Sb 0.3899 0.2487 0.9716  3 Au 2.79-2.84, 2 Sb 3.05
7 Sb 0.1101 0.0284 0.7513  3 Au 2.79-2.84, 2 Sb 3.05
8 Sb 0.5042 0.2458 0.2458  2 Au 2.85, 2 Sb 3.05
9 Sb 0.0042 0.2458 0.2458  2 Au 2.85, 2 Sb 3.05
10 Sb 0.9958 0.7542 0.7542  2 Au 2.85, 2 Sb 3.05
11 Au 0.1274 0.2580 0.4872  5 Sb 2.79-2.85
12 Au 0.7500 0.0000 0.0000  4 Sb 2.84
13 Au 0.8726 0.7420 0.5128  5 Sb 2.79-2.85
14 Au 0.3726 0.5128 0.7420  5 Sb 2.79-2.85
15 Au 0.2500 0.0000 0.0000  4 Sb 2.84
16 Au 0.6274 0.4872 0.2580  5 Sb 2.79-2.85
17 K 0.6270 0.1229 0.6231  10 Sb 3.55-3.89, 6 Au 3.77-3.93
18 K 0.8730 0.3769 0.8771  10 Sb 3.55-3.89, 6 Au 3.77-3.93
19 K 0.3730 0.8771 0.3769  10 Sb 3.55-3.89, 6 Au 3.77-3.93
20 K 0.1270 0.6231 0.1229  10 Sb 3.55-3.89, 6 Au 3.77-3.93



Density functional theory data (GGA-PBE) for a relaxed structure of KSb4Au6.

The value obtained for the total energy is -3.44 eV per atom. The space group is No. 121. Its uncorrected formation energy is -0.058 eV per atom.

abc: 7.4380 7.4380 7.4380
angles: 84.87 123.01 123.01
With the nearest neighbours (Å) after each atom.
Positions (direct):
1 K 0.0000 0.0000 0.0000  4 Sb 3.38, 8 Au 3.43-3.55
2 Sb 0.5920 0.4428 0.4428  6 Au 2.76-3.02
3 Sb 0.0000 0.5572 0.1492  6 Au 2.76-3.02
4 Sb 0.0000 0.1492 0.5572  6 Au 2.76-3.02
5 Sb 0.4080 0.8508 0.8508  6 Au 2.76-3.02
6 Au 0.6285 0.1912 0.1912  4 Sb 2.76-2.97, 2 Au 2.92
7 Au 0.5000 0.0000 0.5000  4 Au 2.92, 4 Sb 3.02
8 Au 0.5000 0.5000 0.0000  4 Au 2.92, 4 Sb 3.02
9 Au 0.3715 0.5627 0.5627  4 Sb 2.76-2.97, 2 Au 2.92
10 Au 0.0000 0.8088 0.4373  4 Sb 2.76-2.97, 2 Au 2.92
11 Au 0.0000 0.4373 0.8088  4 Sb 2.76-2.97, 2 Au 2.92



Density functional theory data (GGA-PBE) for a relaxed structure of KSb3Au.

The value obtained for the total energy is -3.48 eV per atom. The space group is No. 65. Its uncorrected formation energy is -0.129 eV per atom. As for the excess energy over the best structure of this formula in the dataset: 0.0930 eV/atom.

abc: 4.9486 5.1176 12.6876
angles: 101.64 90.00 90.00
With the nearest neighbours (Å) after each atom.
Positions (direct):
1 Sb 0.0000 0.9421 0.8843  1 Sb 2.88, 2 Au 2.92
2 Sb 0.5000 0.4421 0.8842  2 Au 2.84, 1 Sb 2.88
3 Sb 0.5000 0.5579 0.1158  2 Au 2.84, 1 Sb 2.88
4 Sb 0.0000 0.2772 0.5545  1 Au 2.69, 2 Sb 2.90
5 Sb 0.0000 0.0579 0.1157  1 Sb 2.88, 2 Au 2.92
6 Sb 0.0000 0.7228 0.4455  1 Au 2.69, 2 Sb 2.90
7 Au 0.0000 0.3856 0.7713  5 Sb 2.69-2.92
8 Au 0.0000 0.6144 0.2287  5 Sb 2.69-2.92
9 K 0.5000 0.8301 0.6603  10 Sb 3.64-3.79, 4 Au 3.82
10 K 0.5000 0.1699 0.3397  10 Sb 3.64-3.79, 4 Au 3.82



Density functional theory data (GGA-PBE) for a relaxed structure of KSbAu3.

The value obtained for the total energy is -3.13 eV per atom. The space group is No. 221. Its uncorrected formation energy is -0.120 eV per atom. As for the excess energy over the best structure of this formula in the dataset: 0.0885 eV/atom.

abc: 5.3731 5.3731 5.3731
angles: 90.00 90.00 90.00
With the nearest neighbours (Å) after each atom.
Positions (direct):
1 K 0.5000 0.5000 0.5000  12 Au 3.80
2 Sb 0.0000 0.0000 0.0000  6 Au 2.69
3 Au 0.0000 0.0000 0.5000  2 Sb 2.69
4 Au 0.0000 0.5000 0.0000  2 Sb 2.69
5 Au 0.5000 0.0000 0.0000  2 Sb 2.69



Density functional theory data (GGA-PBE) for a relaxed structure of KSb2Au2.

The value obtained for the total energy is -3.27 eV per atom. The space group is No. 127. Its uncorrected formation energy is -0.088 eV per atom.

abc: 8.7494 8.7494 3.2869
angles: 90.00 90.00 90.00
With the nearest neighbours (Å) after each atom.
Positions (direct):
1 Au 0.8393 0.3393 0.5000  6 Sb 2.97-3.10, 2 Au 3.29
2 Au 0.6607 0.8393 0.5000  6 Sb 2.97-3.10, 2 Au 3.29
3 Au 0.1607 0.6607 0.5000  6 Sb 2.97-3.10, 2 Au 3.29
4 Au 0.3393 0.1607 0.5000  6 Sb 2.97-3.10, 2 Au 3.29
5 Sb 0.1389 0.3611 0.0000  6 Au 2.97-3.10, 2 Sb 3.29
6 Sb 0.6389 0.1389 0.0000  6 Au 2.97-3.10, 2 Sb 3.29
7 Sb 0.3611 0.8611 0.0000  6 Au 2.97-3.10, 2 Sb 3.29
8 Sb 0.8611 0.6389 0.0000  6 Au 2.97-3.10, 2 Sb 3.29
9 K 0.5000 0.5000 0.0000  2 K 3.29, 4 Sb 3.39, 8 Au 3.67
10 K 0.0000 0.0000 0.0000  2 K 3.29, 4 Sb 3.39, 8 Au 3.67